# 1
Compound: Ba2SrTm2Pb5
Source: the Alexandria database
Functional: PBE
Structure: optimized geometry

a b c (Å): 12.0061 12.0061 4.7774
angles (deg): 90.00 90.00 90.00
Closest atoms and distances in Å follow each position.
Element x y z (fractional)
Ba 0.1783 0.3217 0.0000  3 Tm 3.42-3.65
Ba 0.3217 0.8217 0.0000  3 Tm 3.42-3.65
Ba 0.6783 0.1783 0.0000  3 Tm 3.42-3.65
Ba 0.8217 0.6783 0.0000  3 Tm 3.42-3.65
Sr 0.0000 0.0000 0.0000  8 Pb 3.55
Sr 0.5000 0.5000 0.0000  8 Pb 3.55
Tm 0.1202 0.6202 0.0000  6 Pb 3.14-3.22, 1 Ba 3.42
Tm 0.3798 0.1202 0.0000  6 Pb 3.14-3.22, 1 Ba 3.42
Tm 0.6202 0.8798 0.0000  6 Pb 3.14-3.22, 1 Ba 3.42
Tm 0.8798 0.3798 0.0000  6 Pb 3.14-3.22, 1 Ba 3.42
Pb 0.0000 0.5000 0.5000  4 Tm 3.14
Pb 0.0687 0.7920 0.5000  2 Tm 3.22, 2 Sr 3.55, 1 Pb 3.60
Pb 0.2080 0.0687 0.5000  2 Tm 3.22, 2 Sr 3.55, 1 Pb 3.60
Pb 0.2920 0.5687 0.5000  2 Tm 3.22, 2 Sr 3.55, 1 Pb 3.60
Pb 0.4313 0.2920 0.5000  2 Tm 3.22, 2 Sr 3.55, 1 Pb 3.60
Pb 0.5000 0.0000 0.5000  4 Tm 3.14
Pb 0.5687 0.7080 0.5000  2 Tm 3.22, 2 Sr 3.55, 1 Pb 3.60
Pb 0.7080 0.4313 0.5000  2 Tm 3.22, 2 Sr 3.55, 1 Pb 3.60
Pb 0.7920 0.9313 0.5000  2 Tm 3.22, 2 Sr 3.55, 1 Pb 3.60
Pb 0.9313 0.2080 0.5000  2 Tm 3.22, 2 Sr 3.55, 1 Pb 3.60

Values from the calculation:
Formation energy: -0.419 eV per atom
Calculated volume: 688.6 Å³ per cell
Size of the total moment: 0.000 μB per atom

# 2
Compound: LiFe2W
Source: the Alexandria database
Functional: PBE
Structure: optimized geometry

a b c (Å): 9.4790 2.8279 4.1744
angles (deg): 90.00 115.89 90.00
Closest atoms and distances in Å follow each position.
Element x y z (fractional)
Li 0.0000 0.0000 0.0000  6 Fe 2.53-2.56, 2 W 2.73, 2 Li 2.83
Li 0.5000 0.5000 0.0000  6 Fe 2.53-2.56, 2 W 2.73, 2 Li 2.83
Fe 0.0229 0.5000 0.5231  2 Fe 2.40, 4 Li 2.53, 2 W 2.56
Fe 0.2499 0.0000 0.7517  2 Fe 2.40, 4 W 2.53, 2 Li 2.56
Fe 0.5229 0.0000 0.5231  2 Fe 2.40, 4 Li 2.53, 2 W 2.56
Fe 0.7499 0.5000 0.7517  2 Fe 2.40, 4 W 2.53, 2 Li 2.56
W 0.2733 0.5000 0.2749  6 Fe 2.53-2.56, 2 Li 2.73, 2 W 2.83
W 0.7733 0.0000 0.2749  6 Fe 2.53-2.56, 2 Li 2.73, 2 W 2.83

Values from the calculation:
Formation energy: 0.294 eV per atom
Calculated volume: 100.7 Å³ per cell
Size of the total moment: 0.683 μB per atom

# 3
Compound: NaNd2Ge
Source: the Alexandria database
Functional: PBE
Structure: optimized geometry

a b c (Å): 4.1045 4.1045 32.8120
angles (deg): 90.00 90.00 120.00
Closest atoms and distances in Å follow each position.
Element x y z (fractional)
Na 0.0000 0.0000 0.0000  2 Nd 3.79, 6 Na 4.10
Na 0.3333 0.6667 0.6667  2 Nd 3.79, 6 Na 4.10
Na 0.6667 0.3333 0.3333  2 Nd 3.79, 6 Na 4.10
Nd 0.0000 0.0000 0.1154  3 Ge 2.91
Nd 0.0000 0.0000 0.8846  3 Ge 2.91
Nd 0.3333 0.6667 0.5512  3 Ge 2.91
Nd 0.3333 0.6667 0.7821  3 Ge 2.91
Nd 0.6667 0.3333 0.2179  3 Ge 2.91
Nd 0.6667 0.3333 0.4488  3 Ge 2.91
Ge 0.0000 0.0000 0.5000  6 Nd 2.91
Ge 0.3333 0.6667 0.1667  6 Nd 2.91
Ge 0.6667 0.3333 0.8333  6 Nd 2.91

Values from the calculation:
Formation energy: -0.175 eV per atom
Calculated volume: 478.7 Å³ per cell
Size of the total moment: 0.000 μB per atom

Please write out number 3 again, unchanged.
Compound: NaNd2Ge
Source: the Alexandria database
Functional: PBE
Structure: optimized geometry

a b c (Å): 4.1045 4.1045 32.8120
angles (deg): 90.00 90.00 120.00
Closest atoms and distances in Å follow each position.
Element x y z (fractional)
Na 0.0000 0.0000 0.0000  2 Nd 3.79, 6 Na 4.10
Na 0.3333 0.6667 0.6667  2 Nd 3.79, 6 Na 4.10
Na 0.6667 0.3333 0.3333  2 Nd 3.79, 6 Na 4.10
Nd 0.0000 0.0000 0.1154  3 Ge 2.91
Nd 0.0000 0.0000 0.8846  3 Ge 2.91
Nd 0.3333 0.6667 0.5512  3 Ge 2.91
Nd 0.3333 0.6667 0.7821  3 Ge 2.91
Nd 0.6667 0.3333 0.2179  3 Ge 2.91
Nd 0.6667 0.3333 0.4488  3 Ge 2.91
Ge 0.0000 0.0000 0.5000  6 Nd 2.91
Ge 0.3333 0.6667 0.1667  6 Nd 2.91
Ge 0.6667 0.3333 0.8333  6 Nd 2.91

Values from the calculation:
Formation energy: -0.175 eV per atom
Calculated volume: 478.7 Å³ per cell
Size of the total moment: 0.000 μB per atom